VASP calculation (PBE with a Hubbard U) on crystalline BaGaWO5 at its relaxed geometry.

a b c (Å): 5.9910 5.9910 7.7071
angles (deg): 104.47 104.47 106.35
With the nearest neighbours (Å) after each atom.
Positions (direct):
O  0.9498  0.0502  0.7500  2 W 1.99
O  0.8869  0.2870  0.0954  1 Ga 1.87, 1 W 2.06
O  0.7130  0.1131  0.4046  1 Ga 1.87, 1 W 2.06
O  0.2870  0.8869  0.5954  1 Ga 1.87, 1 W 2.06
O  0.3574  0.2248  0.1030  1 Ga 1.89, 1 W 2.01
O  0.2248  0.3574  0.6030  1 Ga 1.89, 1 W 2.01
O  0.0502  0.9498  0.2500  2 W 1.99
O  0.1131  0.7130  0.9046  1 Ga 1.87, 1 W 2.06
O  0.7752  0.6426  0.3970  1 Ga 1.89, 1 W 2.01
O  0.6426  0.7752  0.8970  1 Ga 1.89, 1 W 2.01
Ba  0.6709  0.3291  0.7500  7 O 2.68-2.76
Ba  0.3291  0.6709  0.2500  7 O 2.68-2.76
Ga  0.3074  0.6926  0.7500  4 O 1.87-1.89
Ga  0.6926  0.3074  0.2500  4 O 1.87-1.89
W  0.0000  0.0000  0.5000  6 O 1.99-2.06
W  0.0000  0.0000  0.0000  6 O 1.99-2.06

- Calculated total energy: -0.25322 hartree per atom
- SG: C2/c, No. 15
- Fermi-level density of states: 0.0 states/eV/cell